[1]
Density functional theory data (PBE) for an optimized crystal structure of ErThSc2Hg4.

It has space group R-3m (No. 166, hexagonal axes), with a = 5.1539 Å, b = 5.1539 Å, c = 25.5651 Å, α = 90.00°, β = 90.00° and γ = 120.00°. The distinct sites, in fractional coordinates, are Er at (0.0000, 0.0000, 0.0000), Th at (0.0000, 0.0000, 0.5000), Sc at (0.0000, 0.0000, 0.2492), Hg at (0.0000, 0.0000, 0.1198) and Hg at (0.0000, 0.0000, 0.3711).

Its formation energy is -0.356 eV/atom. The mass density is 10.94 g cm⁻³. As for the total energy: -3.587 eV/atom.

=====

[2]
Density functional theory data (PBE) for an optimized crystal structure of ErScTlHg.

It has space group F-43m (No. 216), with a = 7.299 Å, b = 7.299 Å, c = 7.299 Å, α = 90.00°, β = 90.00° and γ = 90.00°. The distinct sites, in fractional coordinates, are Er at (0.000, 0.000, 0.000), Sc at (0.000, 0.000, 0.500), Tl at (0.250, 0.250, 0.250) and Hg at (0.250, 0.250, 0.750).

Its formation energy is -0.364 eV/atom. The mass density is 10.54 g cm⁻³. As for the total energy: -3.754 eV/atom.

=====

[3]
Density functional theory data (PBE) for an optimized crystal structure of ErScTlHg.

It has space group P4mm (No. 99), with a = 3.654 Å, b = 3.654 Å, c = 7.259 Å, α = 90.00°, β = 90.00° and γ = 90.00°. The distinct sites, in fractional coordinates, are Er at (0.000, 0.000, 0.000), Sc at (0.000, 0.000, 0.517), Tl at (0.500, 0.500, 0.271) and Hg at (0.500, 0.500, 0.743).

Its formation energy is -0.368 eV/atom. The mass density is 10.58 g cm⁻³. As for the total energy: -3.759 eV/atom.

=====

[4]
Density functional theory data (PBE) for an optimized crystal structure of YEr2ScHg4.

It has space group R-3m (No. 166, hexagonal axes), with a = 5.1711 Å, b = 5.1711 Å, c = 25.4186 Å, α = 90.00°, β = 90.00° and γ = 120.00°. The distinct sites, in fractional coordinates, are Y at (0.0000, 0.0000, 0.0000), Er at (0.0000, 0.0000, 0.2483), Sc at (0.0000, 0.0000, 0.5000), Hg at (0.0000, 0.0000, 0.1266) and Hg at (0.0000, 0.0000, 0.3777).

Its formation energy is -0.467 eV/atom. The mass density is 10.75 g cm⁻³. As for the total energy: -3.358 eV/atom.

=====

[5]
Density functional theory data (PBE) for an optimized crystal structure of ErScZnHg.

It has space group F-43m (No. 216), with a = 7.076 Å, b = 7.076 Å, c = 7.076 Å, α = 90.00°, β = 90.00° and γ = 90.00°. The distinct sites, in fractional coordinates, are Er at (0.000, 0.000, 0.000), Sc at (0.000, 0.000, 0.500), Zn at (0.250, 0.250, 0.250) and Hg at (0.250, 0.250, 0.750).

Its formation energy is -0.385 eV/atom. The mass density is 8.96 g cm⁻³. As for the total energy: -3.503 eV/atom.

=====

[6]
Density functional theory data (PBE) for an optimized crystal structure of ErScZnHg.

It has space group P4mm (No. 99), with a = 3.490 Å, b = 3.490 Å, c = 7.176 Å, α = 90.00°, β = 90.00° and γ = 90.00°. The distinct sites, in fractional coordinates, are Er at (0.000, 0.000, 0.000), Sc at (0.000, 0.000, 0.534), Zn at (0.500, 0.500, 0.748) and Hg at (0.500, 0.500, 0.284).

Its formation energy is -0.405 eV/atom. The mass density is 9.09 g cm⁻³. As for the total energy: -3.522 eV/atom.

=====

[7]
Density functional theory data (PBE) for an optimized crystal structure of ErHg2Se.

It has space group R-3m (No. 166, hexagonal axes), with a = 3.4819 Å, b = 3.4819 Å, c = 31.8759 Å, α = 90.00°, β = 90.00° and γ = 120.00°. The distinct sites, in fractional coordinates, are Er at (0.0000, 0.0000, 0.0000), Hg at (0.0000, 0.0000, 0.0936) and Se at (0.0000, 0.0000, 0.5000).

The mass density is 9.64 g cm⁻³. As for the total energy: -1.997 eV/atom. The formation energy without anion corrections comes out at 166 meV per atom.

=====

[8]
Density functional theory data (PBE) for an optimized crystal structure of Er5Hg2Se2.

It has space group Cmce (No. 64), with a = 15.357 Å, b = 6.967 Å, c = 8.603 Å, α = 90.00°, β = 90.00° and γ = 90.00°. The distinct sites, in fractional coordinates, are Er at (0.000, 0.000, 0.000), Er at (0.139, 0.159, 0.317), Hg at (0.207, 0.000, 0.000) and Se at (0.000, 0.134, 0.673).

The mass density is 10.07 g cm⁻³. As for the total energy: -4.216 eV/atom. The formation energy without anion corrections comes out at -839 meV per atom.

=====

[9]
Density functional theory data (PBE) for an optimized crystal structure of Er4HgSe2.

It has space group Cmcm (No. 63), with a = 4.035 Å, b = 13.022 Å, c = 13.847 Å, α = 90.00°, β = 90.00° and γ = 90.00°. The distinct sites, in fractional coordinates, are Er at (0.000, 0.000, 0.000), Er at (0.000, 0.274, 0.125), Er at (0.000, 0.436, 0.750), Hg at (0.000, 0.109, 0.750) and Se at (0.000, 0.362, 0.559).

The mass density is 9.38 g cm⁻³. As for the total energy: -4.767 eV/atom. The formation energy without anion corrections comes out at -1121 meV per atom.

=====

[10]
Density functional theory data (PBE) for an optimized crystal structure of Er4HgSe.

It has space group P2_1/m (No. 11), with a = 5.918 Å, b = 6.711 Å, c = 8.061 Å, α = 90.00°, β = 92.41° and γ = 90.00°. The distinct sites, in fractional coordinates, are Er at (0.098, 0.250, 0.060), Er at (0.134, 0.750, 0.348), Er at (0.357, 0.503, 0.722), Hg at (0.247, 0.250, 0.413) and Se at (0.382, 0.750, 0.033).

The mass density is 9.85 g cm⁻³. As for the total energy: -4.287 eV/atom. The formation energy without anion corrections comes out at -614 meV per atom.

=====

[11]
Density functional theory data (PBE) for an optimized crystal structure of Er7HgSe5.

It has space group Cmcm (No. 63), with a = 4.013 Å, b = 13.283 Å, c = 24.069 Å, α = 90.00°, β = 90.00° and γ = 90.00°. The distinct sites, in fractional coordinates, are Er at (0.000, 0.023, 0.250), Er at (0.000, 0.139, 0.536), Er at (0.000, 0.315, 0.178), Er at (0.000, 0.405, 0.615), Hg at (0.000, 0.304, 0.750), Se at (0.000, 0.049, 0.640), Se at (0.000, 0.225, 0.072) and Se at (0.000, 0.500, 0.000).

The mass density is 9.14 g cm⁻³. As for the total energy: -5.219 eV/atom. The formation energy without anion corrections comes out at -1398 meV per atom.

=====

[12]
Density functional theory data (PBE) for an optimized crystal structure of Er4HgSe2.

It has space group R-3m (No. 166, hexagonal axes), with a = 3.8654 Å, b = 3.8654 Å, c = 42.5508 Å, α = 90.00°, β = 90.00° and γ = 120.00°. The distinct sites, in fractional coordinates, are Er at (0.0000, 0.0000, 0.1342), Er at (0.0000, 0.0000, 0.2839), Hg at (0.0000, 0.0000, 0.0000) and Se at (0.0000, 0.0000, 0.4245).

The mass density is 9.30 g cm⁻³. As for the total energy: -4.725 eV/atom. The formation energy without anion corrections comes out at -1079 meV per atom.

=====

[13]
Density functional theory data (PBE) for an optimized crystal structure of Er2HgSe.

It has space group R-3m (No. 166, hexagonal axes), with a = 3.9365 Å, b = 3.9365 Å, c = 22.7546 Å, α = 90.00°, β = 90.00° and γ = 120.00°. The distinct sites, in fractional coordinates, are Er at (0.0000, 0.0000, 0.2438), Hg at (0.0000, 0.0000, 0.0000) and Se at (0.0000, 0.0000, 0.5000).

The mass density is 10.02 g cm⁻³. As for the total energy: -4.296 eV/atom. The formation energy without anion corrections comes out at -1068 meV per atom.

=====

[14]
Density functional theory data (PBE) for an optimized crystal structure of Er2HgSe.

It has space group R3m (No. 160, hexagonal axes), with a = 3.8594 Å, b = 3.8594 Å, c = 23.7757 Å, α = 90.00°, β = 90.00° and γ = 120.00°. The distinct sites, in fractional coordinates, are Er at (0.0000, 0.0000, 0.0000), Er at (0.0000, 0.0000, 0.1817), Hg at (0.0000, 0.0000, 0.4241) and Se at (0.0000, 0.0000, 0.5924).

The mass density is 9.97 g cm⁻³. As for the total energy: -4.232 eV/atom. The formation energy without anion corrections comes out at -1004 meV per atom.

=====

[15]
Density functional theory data (PBE) for an optimized crystal structure of Er4HgTeSe2.

It has space group P2/m (No. 10), with a = 7.271 Å, b = 4.021 Å, c = 7.388 Å, α = 90.00°, β = 107.60° and γ = 90.00°. The distinct sites, in fractional coordinates, are Er at (0.232, 0.000, 0.232), Er at (0.248, 0.500, 0.759), Hg at (0.000, 0.000, 0.500), Te at (0.500, 0.500, 0.500), Se at (0.000, 0.500, 0.000) and Se at (0.500, 0.000, 0.000).

The mass density is 9.32 g cm⁻³. As for the total energy: -4.837 eV/atom. The formation energy without anion corrections comes out at -1254 meV per atom.

=====

[16]
Density functional theory data (PBE) for an optimized crystal structure of Er8HgTe4Se3.

It has space group R-3m (No. 166, hexagonal axes), with a = 8.3978 Å, b = 8.3978 Å, c = 20.9187 Å, α = 90.00°, β = 90.00° and γ = 120.00°. The distinct sites, in fractional coordinates, are Er at (0.0000, 0.0000, 0.2386), Er at (0.9998, 0.4999, 0.2413), Hg at (0.0000, 0.0000, 0.5000), Te at (0.0000, 0.0000, 0.0000), Te at (0.0000, 0.5000, 0.0000) and Se at (0.0000, 0.5000, 0.5000).

The mass density is 8.91 g cm⁻³. As for the total energy: -5.057 eV/atom. The formation energy without anion corrections comes out at -1318 meV per atom.

=====

[17]
Density functional theory data (PBE) for an optimized crystal structure of Er4HgTe2Se.

It has space group P2/m (No. 10), with a = 7.441 Å, b = 4.117 Å, c = 7.483 Å, α = 90.00°, β = 107.98° and γ = 90.00°. The distinct sites, in fractional coordinates, are Er at (0.242, 0.000, 0.225), Er at (0.257, 0.500, 0.767), Hg at (0.500, 0.000, 0.000), Te at (0.000, 0.000, 0.500), Te at (0.500, 0.500, 0.500) and Se at (0.000, 0.500, 0.000).

The mass density is 9.17 g cm⁻³. As for the total energy: -4.699 eV/atom. The formation energy without anion corrections comes out at -1159 meV per atom.

=====

[18]
Density functional theory data (PBE) for an optimized crystal structure of Er6HgTe3Se2.

It has space group C2/m (No. 12), with a = 7.304 Å, b = 12.608 Å, c = 7.407 Å, α = 90.00°, β = 109.01° and γ = 90.00°. The distinct sites, in fractional coordinates, are Er at (0.241, 0.167, 0.226), Er at (0.243, 0.500, 0.226), Hg at (0.000, 0.000, 0.000), Te at (0.000, 0.168, 0.500), Te at (0.000, 0.500, 0.500) and Se at (0.000, 0.334, 0.000).

The mass density is 8.99 g cm⁻³. As for the total energy: -4.952 eV/atom. The formation energy without anion corrections comes out at -1279 meV per atom.

=====

[19]
Density functional theory data (PBE) for an optimized crystal structure of Er6Hg2TeSe3.

It has space group C2/m (No. 12), with a = 18.775 Å, b = 4.005 Å, c = 8.658 Å, α = 90.00°, β = 110.14° and γ = 90.00°. The distinct sites, in fractional coordinates, are Er at (0.008, 0.000, 0.274), Er at (0.156, 0.500, 0.627), Er at (0.175, 0.500, 0.114), Hg at (0.184, 0.000, 0.386), Te at (0.000, 0.500, 0.000), Se at (0.000, 0.500, 0.500) and Se at (0.160, 0.000, 0.864).

The mass density is 9.61 g cm⁻³. As for the total energy: -4.680 eV/atom. The formation energy without anion corrections comes out at -1215 meV per atom.

=====

[20]
Density functional theory data (PBE) for an optimized crystal structure of ErTl2HgSe4.

It has space group P2/m (No. 10), with a = 7.418 Å, b = 4.157 Å, c = 7.707 Å, α = 90.00°, β = 109.72° and γ = 90.00°. The distinct sites, in fractional coordinates, are Er at (0.000, 0.000, 0.000), Tl at (0.000, 0.500, 0.500), Tl at (0.500, 0.000, 0.500), Hg at (0.500, 0.500, 0.000), Se at (0.220, 0.500, 0.223) and Se at (0.258, 0.000, 0.787).

The mass density is 8.11 g cm⁻³. As for the total energy: -3.678 eV/atom. The formation energy without anion corrections comes out at -736 meV per atom.

=====

[21]
Density functional theory data (PBE) for an optimized crystal structure of ErSiHg.

It has space group P3m1 (No. 156), with a = 4.3166 Å, b = 4.3166 Å, c = 4.0891 Å, α = 90.00°, β = 90.00° and γ = 120.00°. The distinct sites, in fractional coordinates, are Er at (0.0000, 0.0000, 0.0000), Si at (0.6667, 0.3333, 0.5947) and Hg at (0.3333, 0.6667, 0.4382).

The mass density is 9.96 g cm⁻³. As for the total energy: -3.794 eV/atom. The formation energy without anion corrections comes out at -364 meV per atom.

=====

[22]
Density functional theory data (PBE) for an optimized crystal structure of Er2SiHg.

It has space group R-3m (No. 166, hexagonal axes), with a = 4.2636 Å, b = 4.2636 Å, c = 20.1050 Å, α = 90.00°, β = 90.00° and γ = 120.00°. The distinct sites, in fractional coordinates, are Er at (0.0000, 0.0000, 0.2359), Si at (0.0000, 0.0000, 0.5000) and Hg at (0.0000, 0.0000, 0.0000).

The mass density is 8.86 g cm⁻³. As for the total energy: -4.169 eV/atom. The formation energy without anion corrections comes out at -457 meV per atom.

=====

[23]
Density functional theory data (PBE) for an optimized crystal structure of Er6Si2Hg.

It has space group Immm (No. 71), with a = 9.473 Å, b = 9.483 Å, c = 10.122 Å, α = 90.00°, β = 90.00° and γ = 90.00°. The distinct sites, in fractional coordinates, are Er at (0.000, 0.204, 0.177), Er at (0.181, 0.227, 0.500), Er at (0.200, 0.500, 0.253), Si at (0.000, 0.000, 0.382), Si at (0.139, 0.000, 0.000), Hg at (0.000, 0.500, 0.000) and Hg at (0.000, 0.500, 0.500).

The mass density is 9.21 g cm⁻³. As for the total energy: -4.804 eV/atom. The formation energy without anion corrections comes out at -524 meV per atom.